A relaxed structure of CsSb2Br. Source: Alexandria, functional PBE-GGA.

For the density of states at the Fermi level, the calculation gives 9.6 states/eV per cell. The calculation puts the size of the total moment at 0.00 μB/cell. The formation energy without anion corrections comes out at -0.27 eV per atom. The value obtained for the distance to the lowest polymorph of the same formula is 0.000 eV/atom.

Cell: 5.4859 5.4859 26.4173 Å, 90.00 90.00 90.00°
Closest atoms and distances in Å follow each position.
Space group I-42d (No. 122)
Inequivalent atoms, fractional coordinates:
Cs 0.0000 0.0000 0.0000 x4  4 Br 3.88
Sb 0.0260 0.2500 0.6250 x8  2 Sb 2.76
Br 0.0000 0.0000 0.5000 x4  4 Sb 3.58, 4 Cs 3.88

***

A relaxed structure of KNiRu. Source: Alexandria, functional PBE-GGA.

For the density of states at the Fermi level, the calculation gives 4.7 states/eV per cell. For the formation energy from the elements, the calculation gives 0.6399 eV/atom. The calculation puts the size of the total moment at 0.00 μB/cell. The value obtained for the distance to the lowest polymorph of the same formula is 0.000 eV/atom.

Cell: 2.6536 3.8267 12.0452 Å, 90.00 90.00 90.00°
Closest atoms and distances in Å follow each position.
Space group Imm2 (No. 44)
Inequivalent atoms, fractional coordinates:
K 0.0000 0.0000 0.0000 x2  2 K 2.65
Ni 0.0000 0.0000 0.7153 x2  4 Ru 2.45, 2 Ni 2.65
Ru 0.0000 0.0000 0.2774 x2  4 Ni 2.45, 2 Ru 2.65

***

A relaxed structure of TlC2O4. Source: Alexandria, functional PBE-GGA.

For the density of states at the Fermi level, the calculation gives 3.7 states/eV per cell. The calculation puts the size of the total moment at 1.72 μB/cell. The formation energy without anion corrections comes out at -0.01 eV per atom.

Cell: 4.2401 4.2401 16.5054 Å, 90.00 90.00 90.00°
Closest atoms and distances in Å follow each position.
Space group I4/mmm (No. 139)
Inequivalent atoms, fractional coordinates:
Tl 0.0000 0.0000 0.0000 x2  4 O 2.12
C 0.0000 0.0000 0.3309 x4  1 O 1.14
O 0.0000 0.0000 0.2615 x4  1 C 1.14
O 0.0000 0.5000 0.0000 x4  2 Tl 2.12

***

A relaxed structure of CaScCo2. Source: Alexandria, functional PBE-GGA.

For the density of states at the Fermi level, the calculation gives 7.8 states/eV per cell. For the formation energy from the elements, the calculation gives 0.1246 eV/atom. The calculation puts the size of the total moment at 2.73 μB/cell. The value obtained for the distance to the lowest polymorph of the same formula is 0.125 eV/atom.

Cell: 8.7549 3.9526 6.0637 Å, 90.00 122.07 90.00°
Closest atoms and distances in Å follow each position.
Space group C2/m (No. 12)
Inequivalent atoms, fractional coordinates:
Ca 0.0000 0.0000 0.0000 x2  6 Co 2.97-3.07
Sc 0.0000 0.5000 0.5000 x2  6 Co 2.51-2.77
Co 0.2444 0.0000 0.5753 x4  2 Co 2.20

***

A relaxed structure of NaPmPbO3. Source: Alexandria, functional PBE-GGA.

For the density of states at the Fermi level, the calculation gives 0.0 states/eV per cell. The calculation puts the size of the total moment at 0.00 μB/cell. The formation energy without anion corrections comes out at -2.09 eV per atom.

Cell: 6.3414 3.5329 10.5941 Å, 90.00 93.42 90.00°
Closest atoms and distances in Å follow each position.
Space group P2_1/m (No. 11)
Inequivalent atoms, fractional coordinates:
Na 0.1680 0.2500 0.3077 x2  3 O 2.31-2.57
Pm 0.3646 0.2500 0.6167 x2  6 O 2.35-2.47
Pb 0.2513 0.7500 0.8937 x2  3 O 2.19-2.33
O 0.0981 0.2500 0.7775 x2  2 Pb 2.33, 1 Pm 2.47, 2 Na 2.57
O 0.3025 0.7500 0.4724 x2  3 Pm 2.35-2.36, 2 Na 2.59
O 0.4869 0.7500 0.7512 x2  1 Pb 2.19, 1 Na 2.31, 2 Pm 2.37

***

A relaxed structure of YS2N2. Source: Alexandria, functional PBE-GGA.

For the density of states at the Fermi level, the calculation gives 4.3 states/eV per cell. The calculation puts the size of the total moment at 4.46 μB/cell. The formation energy without anion corrections comes out at 1.19 eV per atom. The value obtained for the distance to the lowest polymorph of the same formula is 0.785 eV/atom.

Cell: 4.4708 4.4708 5.5551 Å, 90.00 90.00 90.00°
Closest atoms and distances in Å follow each position.
Space group P4/mmm (No. 123)
Inequivalent atoms, fractional coordinates:
Y 0.0000 0.0000 0.0000 x1  4 N 2.24
S 0.0000 0.0000 0.5000 x1  2 Y 2.78
S 0.5000 0.5000 0.5000 x1  4 S 3.16
N 0.0000 0.5000 0.0000 x2  2 Y 2.24

***

A relaxed structure of Ba2SbPtO6. Source: Alexandria, functional PBE-GGA.

For the density of states at the Fermi level, the calculation gives 10.5 states/eV per cell. The calculation puts the size of the total moment at 0.00 μB/cell. The formation energy without anion corrections comes out at -1.72 eV per atom.

Cell: 8.3246 8.3246 8.3246 Å, 90.00 90.00 90.00°
Closest atoms and distances in Å follow each position.
Space group Fm-3m (No. 225)
Inequivalent atoms, fractional coordinates:
Ba 0.2500 0.2500 0.2500 x8  12 O 2.94
Sb 0.0000 0.0000 0.0000 x4  6 O 2.05
Pt 0.0000 0.0000 0.5000 x4  6 O 2.11
O 0.0000 0.0000 0.2464 x24  1 Sb 2.05, 1 Pt 2.11

***

A relaxed structure of GdZrPd. Source: Alexandria, functional PBE-GGA.

For the density of states at the Fermi level, the calculation gives 8.0 states/eV per cell. For the formation energy from the elements, the calculation gives -0.4077 eV/atom. The calculation puts the size of the total moment at 14.82 μB/cell.

Cell: 3.4592 3.4592 11.4197 Å, 90.00 90.00 90.00°
Closest atoms and distances in Å follow each position.
Space group I4mm (No. 107)
Inequivalent atoms, fractional coordinates:
Gd 0.0000 0.0000 0.0000 x2  4 Pd 3.13, 5 Zr 3.34-3.43, 4 Gd 3.46
Zr 0.0000 0.0000 0.3002 x2  4 Pd 2.86
Pd 0.0000 0.0000 0.6706 x2  4 Zr 2.86, 4 Gd 3.13

***

> Which of these has the highest size of the total moment?

GdZrPd